GaOs2W: optimized geometry, PBE.

Cell: 6.038 6.038 9.527 Å, 90.00 90.00 90.00°
Element x y z (fractional)
Ga (0.000, 0.000, 0.000)
Ga (0.000, 0.500, 0.250)
Ga (0.500, 0.000, 0.750)
Ga (0.500, 0.500, 0.500)
Os (0.247, 0.250, 0.625)
Os (0.250, 0.747, 0.875)
Os (0.250, 0.753, 0.375)
Os (0.253, 0.250, 0.125)
Os (0.747, 0.750, 0.125)
Os (0.750, 0.247, 0.375)
Os (0.750, 0.253, 0.875)
Os (0.753, 0.750, 0.625)
W (0.000, 0.000, 0.500)
W (0.000, 0.500, 0.750)
W (0.500, 0.000, 0.250)
W (0.500, 0.500, 0.000)

Calculated values
Symmetry: No. 122
Formation energy, eV per atom: 1.281
Theoretical density, g/cm3: 12.12
Size of the total moment, μB per formula unit: 0.00
Raw total energy, eV/cell: -133.268



GaOsW2: optimized geometry, PBE.

Cell: 7.278 7.278 5.253 Å, 90.00 90.00 90.00°
Element x y z (fractional)
Ga (0.000, 0.000, 0.000)
Ga (0.000, 0.500, 0.250)
Ga (0.500, 0.000, 0.750)
Ga (0.500, 0.500, 0.500)
Os (0.000, 0.000, 0.500)
Os (0.000, 0.500, 0.750)
Os (0.500, 0.000, 0.250)
Os (0.500, 0.500, 0.000)
W (0.221, 0.750, 0.625)
W (0.250, 0.221, 0.375)
W (0.250, 0.279, 0.875)
W (0.279, 0.750, 0.125)
W (0.721, 0.250, 0.125)
W (0.750, 0.721, 0.875)
W (0.750, 0.779, 0.375)
W (0.779, 0.250, 0.625)

Calculated values
Symmetry: No. 122
Formation energy, eV per atom: 0.831
Theoretical density, g/cm3: 14.98
Size of the total moment, μB per formula unit: 0.00
Raw total energy, eV/cell: -147.359



Ga2OsW: optimized geometry, PBE.

Cell: 7.012 7.012 5.341 Å, 90.00 90.00 90.00°
Element x y z (fractional)
Ga (0.235, 0.250, 0.125)
Ga (0.250, 0.735, 0.375)
Ga (0.250, 0.765, 0.875)
Ga (0.265, 0.250, 0.625)
Ga (0.735, 0.750, 0.625)
Ga (0.750, 0.235, 0.875)
Ga (0.750, 0.265, 0.375)
Ga (0.765, 0.750, 0.125)
Os (0.000, 0.000, 0.000)
Os (0.000, 0.500, 0.250)
Os (0.500, 0.000, 0.750)
Os (0.500, 0.500, 0.500)
W (0.000, 0.000, 0.500)
W (0.000, 0.500, 0.750)
W (0.500, 0.000, 0.250)
W (0.500, 0.500, 0.000)

Calculated values
Symmetry: No. 122
Formation energy, eV per atom: 0.710
Theoretical density, g/cm3: 12.99
Size of the total moment, μB per formula unit: 0.00
Raw total energy, eV/cell: -109.583



Ga2OsW: optimized geometry, PBE.

Cell: 6.185 6.185 6.185 Å, 90.00 90.00 90.00°
Element x y z (fractional)
Ga (0.250, 0.250, 0.250)
Ga (0.250, 0.250, 0.750)
Ga (0.250, 0.750, 0.250)
Ga (0.250, 0.750, 0.750)
Ga (0.750, 0.250, 0.250)
Ga (0.750, 0.250, 0.750)
Ga (0.750, 0.750, 0.250)
Ga (0.750, 0.750, 0.750)
Os (0.000, 0.000, 0.000)
Os (0.000, 0.500, 0.500)
Os (0.500, 0.000, 0.500)
Os (0.500, 0.500, 0.000)
W (0.000, 0.000, 0.500)
W (0.000, 0.500, 0.000)
W (0.500, 0.000, 0.000)
W (0.500, 0.500, 0.500)

Calculated values
Symmetry: No. 225
Formation energy, eV per atom: 0.341
Theoretical density, g/cm3: 14.42
Size of the total moment, μB per formula unit: 1.01
Raw total energy, eV/cell: -115.488



Ga2Os2W: optimized geometry, PBE.

Cell: 3.931 3.931 10.347 Å, 90.00 90.00 90.00°
Element x y z (fractional)
Ga (0.000, 0.000, 0.108)
Ga (0.000, 0.000, 0.892)
Ga (0.500, 0.500, 0.392)
Ga (0.500, 0.500, 0.608)
Os (0.000, 0.500, 0.250)
Os (0.000, 0.500, 0.750)
Os (0.500, 0.000, 0.250)
Os (0.500, 0.000, 0.750)
W (0.000, 0.000, 0.500)
W (0.500, 0.500, 0.000)

Calculated values
Symmetry: No. 139
Formation energy, eV per atom: 0.834
Theoretical density, g/cm3: 14.62
Size of the total moment, μB per formula unit: 0.00
Raw total energy, eV/cell: -74.592



YGaOs3: optimized geometry, PBE.

Cell: 4.932 4.932 4.932 Å, 90.00 90.00 90.00°
Element x y z (fractional)
Y (0.000, 0.000, 0.000)
Ga (0.500, 0.500, 0.500)
Os (0.000, 0.000, 0.500)
Os (0.000, 0.500, 0.000)
Os (0.500, 0.000, 0.000)

Calculated values
Symmetry: No. 221
Formation energy, eV per atom: 2.866
Theoretical density, g/cm3: 10.09
Size of the total moment, μB per formula unit: 4.00
Raw total energy, eV/cell: -28.851



Y4Ga2Os: optimized geometry, PBE.

Cell: 5.375 5.375 14.168 Å, 90.00 90.00 90.00°
Element x y z (fractional)
Y (0.000, 0.000, 0.188)
Y (0.000, 0.000, 0.812)
Y (0.000, 0.500, 0.000)
Y (0.000, 0.500, 0.500)
Y (0.500, 0.000, 0.000)
Y (0.500, 0.000, 0.500)
Y (0.500, 0.500, 0.312)
Y (0.500, 0.500, 0.688)
Ga (0.000, 0.000, 0.392)
Ga (0.000, 0.000, 0.608)
Ga (0.500, 0.500, 0.108)
Ga (0.500, 0.500, 0.892)
Os (0.000, 0.000, 0.000)
Os (0.500, 0.500, 0.500)

Calculated values
Symmetry: No. 139
Formation energy, eV per atom: -0.098
Theoretical density, g/cm3: 5.56
Size of the total moment, μB per formula unit: 0.00
Raw total energy, eV/cell: -87.651



YGaOs: optimized geometry, PBE.

Cell: 4.362 4.362 3.612 Å, 90.00 90.00 120.00°
Element x y z (fractional)
Y (0.000, 0.000, 0.000)
Ga (0.333, 0.667, 0.500)
Os (0.667, 0.333, 0.500)

Calculated values
Symmetry: No. 187
Formation energy, eV per atom: -0.300
Theoretical density, g/cm3: 9.73
Size of the total moment, μB per formula unit: 0.00
Raw total energy, eV/cell: -21.620



Y8GaOs2: optimized geometry, PBE.

Cell: 7.840 7.840 5.507 Å, 97.87 97.87 112.17°
Element x y z (fractional)
Y (0.000, 0.000, 0.000)
Y (0.045, 0.312, 0.610)
Y (0.136, 0.616, 0.197)
Y (0.312, 0.045, 0.610)
Y (0.440, 0.707, 0.785)
Y (0.616, 0.136, 0.197)
Y (0.707, 0.440, 0.785)
Y (0.753, 0.753, 0.395)
Ga (0.377, 0.377, 0.196)
Os (0.062, 0.690, 0.698)
Os (0.690, 0.062, 0.698)

Calculated values
Symmetry: No. 8
Formation energy, eV per atom: -0.195
Theoretical density, g/cm3: 6.35
Size of the total moment, μB per formula unit: 0.00
Raw total energy, eV/cell: -79.342



Y2GaOs: optimized geometry, PBE.

Cell: 8.001 8.001 5.887 Å, 90.00 90.00 90.00°
Element x y z (fractional)
Y (0.205, 0.750, 0.125)
Y (0.250, 0.205, 0.875)
Y (0.250, 0.295, 0.375)
Y (0.295, 0.750, 0.625)
Y (0.705, 0.250, 0.625)
Y (0.750, 0.705, 0.375)
Y (0.750, 0.795, 0.875)
Y (0.795, 0.250, 0.125)
Ga (0.000, 0.000, 0.500)
Ga (0.000, 0.500, 0.750)
Ga (0.500, 0.000, 0.250)
Ga (0.500, 0.500, 0.000)
Os (0.000, 0.000, 0.000)
Os (0.000, 0.500, 0.250)
Os (0.500, 0.000, 0.750)
Os (0.500, 0.500, 0.500)

Calculated values
Symmetry: No. 122
Formation energy, eV per atom: 0.189
Theoretical density, g/cm3: 7.72
Size of the total moment, μB per formula unit: 0.00
Raw total energy, eV/cell: -105.721



Y2GaOs: optimized geometry, PBE.

Cell: 3.497 3.497 7.051 Å, 90.00 90.00 90.00°
Element x y z (fractional)
Y (0.000, 0.000, 0.234)
Y (0.000, 0.000, 0.766)
Ga (0.500, 0.500, 0.500)
Os (0.500, 0.500, 0.000)

Calculated values
Symmetry: No. 123
Formation energy, eV per atom: -0.391
Theoretical density, g/cm3: 8.43
Size of the total moment, μB per formula unit: 0.00
Raw total energy, eV/cell: -28.749



YGa3Os: optimized geometry, PBE.

Cell: 5.181 5.181 5.181 Å, 90.00 90.00 90.00°
Element x y z (fractional)
Y (0.000, 0.000, 0.000)
Ga (0.000, 0.000, 0.500)
Ga (0.000, 0.500, 0.000)
Ga (0.500, 0.000, 0.000)
Os (0.500, 0.500, 0.500)

Calculated values
Symmetry: No. 221
Formation energy, eV per atom: 1.908
Theoretical density, g/cm3: 5.83
Size of the total moment, μB per formula unit: 0.00
Raw total energy, eV/cell: -17.234



Y3Ga9Os2: optimized geometry, PBE.

Cell: 8.125 8.125 8.125 Å, 149.50 108.94 79.27°
Element x y z (fractional)
Y (0.000, 0.000, 0.000)
Y (0.298, 0.298, 0.000)
Y (0.702, 0.702, 0.000)
Ga (0.016, 0.652, 0.364)
Ga (0.153, 0.868, 0.284)
Ga (0.289, 0.652, 0.636)
Ga (0.416, 0.132, 0.284)
Ga (0.500, 0.000, 0.500)
Ga (0.584, 0.868, 0.716)
Ga (0.711, 0.348, 0.364)
Ga (0.847, 0.132, 0.716)
Ga (0.984, 0.348, 0.636)
Os (0.326, 0.500, 0.826)
Os (0.674, 0.500, 0.174)

Calculated values
Symmetry: No. 71
Formation energy, eV per atom: -0.479
Theoretical density, g/cm3: 8.38
Size of the total moment, μB per formula unit: 0.00
Raw total energy, eV/cell: -75.798



Y4GaOs: optimized geometry, PBE.

Cell: 8.007 8.007 6.211 Å, 105.92 105.92 112.05°
Element x y z (fractional)
Y (0.056, 0.707, 0.916)
Y (0.222, 0.355, 0.697)
Y (0.293, 0.944, 0.584)
Y (0.355, 0.222, 0.197)
Y (0.645, 0.778, 0.803)
Y (0.707, 0.056, 0.416)
Y (0.778, 0.645, 0.303)
Y (0.944, 0.293, 0.084)
Ga (0.368, 0.632, 0.250)
Ga (0.632, 0.368, 0.750)
Os (0.000, 0.000, 0.250)
Os (0.000, 0.000, 0.750)

Calculated values
Symmetry: No. 15
Formation energy, eV per atom: -0.349
Theoretical density, g/cm3: 6.36
Size of the total moment, μB per formula unit: 0.00
Raw total energy, eV/cell: -84.411



YGaOs2: optimized geometry, PBE.

Cell: 4.314 4.314 18.113 Å, 90.00 90.00 90.00°
Element x y z (fractional)
Y (0.000, 0.000, 0.000)
Y (0.000, 0.500, 0.250)
Y (0.500, 0.000, 0.750)
Y (0.500, 0.500, 0.500)
Ga (0.000, 0.000, 0.500)
Ga (0.000, 0.500, 0.750)
Ga (0.500, 0.000, 0.250)
Ga (0.500, 0.500, 0.000)
Os (0.126, 0.250, 0.625)
Os (0.250, 0.626, 0.875)
Os (0.250, 0.874, 0.375)
Os (0.374, 0.250, 0.125)
Os (0.626, 0.750, 0.125)
Os (0.750, 0.126, 0.375)
Os (0.750, 0.374, 0.875)
Os (0.874, 0.750, 0.625)

Calculated values
Symmetry: No. 122
Formation energy, eV per atom: 0.282
Theoretical density, g/cm3: 10.62
Size of the total moment, μB per formula unit: 0.00
Raw total energy, eV/cell: -123.297



Y2Ga2Os: optimized geometry, PBE.

Cell: 6.970 6.970 4.206 Å, 90.00 90.00 90.00°
Element x y z (fractional)
Y (0.180, 0.320, 0.000)
Y (0.320, 0.820, 0.000)
Y (0.680, 0.180, 0.000)
Y (0.820, 0.680, 0.000)
Ga (0.130, 0.630, 0.500)
Ga (0.370, 0.130, 0.500)
Ga (0.630, 0.870, 0.500)
Ga (0.870, 0.370, 0.500)
Os (0.000, 0.000, 0.500)
Os (0.500, 0.500, 0.500)

Calculated values
Symmetry: No. 127
Formation energy, eV per atom: -0.391
Theoretical density, g/cm3: 8.25
Size of the total moment, μB per formula unit: 0.06
Raw total energy, eV/cell: -64.335



Y2GaOs2: optimized geometry, PBE.

Cell: 5.535 5.535 7.528 Å, 90.00 90.00 90.00°
Element x y z (fractional)
Y (0.000, 0.500, 0.250)
Y (0.000, 0.500, 0.750)
Y (0.500, 0.000, 0.250)
Y (0.500, 0.000, 0.750)
Ga (0.000, 0.000, 0.000)
Ga (0.500, 0.500, 0.500)
Os (0.000, 0.000, 0.336)
Os (0.000, 0.000, 0.664)
Os (0.500, 0.500, 0.164)
Os (0.500, 0.500, 0.836)

Calculated values
Symmetry: No. 139
Formation energy, eV per atom: 0.181
Theoretical density, g/cm3: 9.04
Size of the total moment, μB per formula unit: 0.00
Raw total energy, eV/cell: -75.016



YGaOs3: optimized geometry, PBE.

Cell: 4.583 4.583 4.583 Å, 90.00 90.00 90.00°
Element x y z (fractional)
Y (0.000, 0.000, 0.000)
Ga (0.500, 0.500, 0.500)
Os (0.000, 0.500, 0.500)
Os (0.500, 0.000, 0.500)
Os (0.500, 0.500, 0.000)

Calculated values
Symmetry: No. 221
Formation energy, eV per atom: 1.028
Theoretical density, g/cm3: 12.58
Size of the total moment, μB per formula unit: 0.72
Raw total energy, eV/cell: -38.042



YGa3Os: optimized geometry, PBE.

Cell: 6.438 6.438 6.438 Å, 90.00 90.00 90.00°
Element x y z (fractional)
Y (0.000, 0.000, 0.500)
Y (0.000, 0.500, 0.000)
Y (0.500, 0.000, 0.000)
Ga (0.000, 0.000, 0.000)
Ga (0.289, 0.289, 0.289)
Ga (0.289, 0.289, 0.711)
Ga (0.289, 0.711, 0.289)
Ga (0.289, 0.711, 0.711)
Ga (0.711, 0.289, 0.289)
Ga (0.711, 0.289, 0.711)
Ga (0.711, 0.711, 0.289)
Ga (0.711, 0.711, 0.711)
Os (0.000, 0.500, 0.500)
Os (0.500, 0.000, 0.500)
Os (0.500, 0.500, 0.000)

Calculated values
Symmetry: No. 221
Formation energy, eV per atom: -0.488
Theoretical density, g/cm3: 9.12
Size of the total moment, μB per formula unit: 0.00
Raw total energy, eV/cell: -87.642



Y2GaOs2: optimized geometry, PBE.

Cell: 6.788 6.788 4.489 Å, 90.00 90.00 90.00°
Element x y z (fractional)
Y (0.177, 0.323, 0.000)
Y (0.323, 0.823, 0.000)
Y (0.677, 0.177, 0.000)
Y (0.823, 0.677, 0.000)
Ga (0.000, 0.000, 0.500)
Ga (0.500, 0.500, 0.500)
Os (0.127, 0.627, 0.500)
Os (0.373, 0.127, 0.500)
Os (0.627, 0.873, 0.500)
Os (0.873, 0.373, 0.500)

Calculated values
Symmetry: No. 127
Formation energy, eV per atom: -0.227
Theoretical density, g/cm3: 10.08
Size of the total moment, μB per formula unit: 0.00
Raw total energy, eV/cell: -79.103